Computed, not measured: MnAgS2 after structural relaxation at the GGA-PBE level of DFT.

abc: 5.5452 5.1799 5.9149
angles: 90.00 104.63 90.00
Last column: nearest neighbours and their distance in Å.
Space group P2/m (No. 10)
One atom of each set of equivalent atoms:
Mn (0.0000, 0.2457, 0.0000)  4 S 2.17-2.20
Ag (0.2503, 0.0000, 0.6870)  4 S 2.58-2.75, 2 Mn 2.88
S (0.2120, 0.5000, 0.8316)  2 Mn 2.17
S (0.2596, 0.0000, 0.2526)  2 Mn 2.20

## Properties
As for the density of states at the Fermi level: 0.41 states/eV/atom. Its uncorrected formation energy is -0.273 eV/atom.